This record from OQMD via LeMat-Bulk describes a geometry-optimized NpUPa structure. The functional is GGA-PBE.

```
NpUPa
1.0
0.000 3.194 3.194
3.194 0.000 3.194
3.194 3.194 0.000
Np Pa U
1 1 1
direct
0.000 0.000 0.000
0.250 0.250 0.250
0.750 0.750 0.750
```

energy of formation from the pure elements = 1.6 eV per formula unit
energy relative to the lowest polymorph listed for this composition = 0.000 eV/atom
crystal system = cubic

This record from OQMD via LeMat-Bulk describes a geometry-optimized Na4TcO5 structure. The functional is GGA-PBE.

```
Na4TcO5
1.0
0.288 -5.535 0.515
-0.596 3.599 4.204
-4.762 0.671 -2.802
Na O Tc
4 5 1
direct
0.439 0.223 0.606
0.617 0.833 0.394
0.833 0.439 0.216
0.223 0.617 0.784
0.061 0.228 0.335
0.419 0.419 0.000
0.894 0.726 0.665
0.726 0.061 0.833
0.228 0.894 0.167
0.070 0.070 0.000
```

total DFT energy (no corrections) = -5.603 eV per atom
crystal system = tetragonal

This record from OQMD via LeMat-Bulk describes a geometry-optimized HoCoW structure. The functional is GGA-PBE.

```
HoCoW
1.0
-2.952 -1.842 2.802
-2.206 2.561 2.921
-4.370 0.755 -0.545
W Ho Co
1 1 1
direct
0.250 0.250 0.250
0.000 0.000 0.000
0.750 0.750 0.750
```

energy of formation from the pure elements = 5.3 eV per formula unit
crystal system = cubic

This record from OQMD via LeMat-Bulk describes a geometry-optimized Pm3Al structure. The functional is GGA-PBE.

```
Pm3Al
1.0
0.000 3.869 3.869
3.869 0.000 3.869
3.869 3.869 0.000
Al Pm
1 3
direct
0.750 0.750 0.750
0.000 0.000 0.000
0.250 0.250 0.250
0.500 0.500 0.500
```

energy relative to the lowest polymorph listed for this composition = 0.155 eV/atom
crystal system = cubic

This record from OQMD via LeMat-Bulk describes a geometry-optimized PmPrLu structure. The functional is GGA-PBE.

```
PmPrLu
1.0
-1.462 1.493 5.077
-5.311 0.562 1.274
-2.421 -3.625 3.338
Pr Lu Pm
1 1 1
direct
0.000 0.000 0.000
0.250 0.250 0.250
0.750 0.750 0.750
```

energy of formation from the pure elements = 2.3 eV per formula unit
crystal system = cubic

This record from OQMD via LeMat-Bulk describes a geometry-optimized ZnCo9 structure. The functional is GGA-PBE.

```
ZnCo9
1.0
-2.230 0.334 1.045
-0.573 -2.373 -0.466
17.909 -12.631 42.272
Co Zn
18 2
direct
0.500 0.000 0.627
0.000 0.500 0.807
0.500 0.000 0.482
0.500 0.000 0.699
0.000 0.500 0.446
0.000 0.500 0.373
0.500 0.000 0.409
0.500 0.000 0.337
0.000 0.500 0.518
0.500 0.000 0.193
0.000 0.500 0.228
0.000 0.500 0.663
0.000 0.500 0.591
0.500 0.000 0.264
0.500 0.000 0.554
0.000 0.500 0.301
0.500 0.000 0.772
0.000 0.500 0.736
0.000 0.500 0.154
0.500 0.000 0.846
```

energy of formation from the pure elements = 0.6 eV per formula unit
energy relative to the lowest polymorph listed for this composition = 0.000 eV/atom
crystal system = tetragonal

This record from OQMD via LeMat-Bulk describes a geometry-optimized LuFeSiPd structure. The functional is GGA-PBE.

```
LuFeSiPd
1.0
2.201 -3.829 1.094
-1.968 -4.039 -0.717
1.563 -2.742 -3.278
Si Pd Lu Fe
1 1 1 1
direct
0.000 0.000 0.000
0.500 0.500 0.500
0.250 0.250 0.250
0.750 0.750 0.750
```

energy relative to the lowest polymorph listed for this composition = 0.130 eV/atom
crystal system = cubic

This record from OQMD via LeMat-Bulk describes a geometry-optimized Na2In4AgAu structure. The functional is GGA-PBE.

```
Na2In4AgAu
1.0
-1.614 -7.381 -2.693
1.292 -2.157 5.137
-3.125 -1.024 4.679
Ag In Na Au
1 4 2 1
direct
0.500 0.717 0.717
0.196 0.860 0.860
0.302 0.139 0.139
0.804 0.860 0.860
0.698 0.139 0.139
0.500 0.430 0.430
0.000 0.570 0.570
0.000 0.285 0.285
```

total DFT energy (no corrections) = -2.674 eV per atom
crystal system = orthorhombic

Copy entry 3 word for word.
This record from OQMD via LeMat-Bulk describes a geometry-optimized HoCoW structure. The functional is GGA-PBE.

```
HoCoW
1.0
-2.952 -1.842 2.802
-2.206 2.561 2.921
-4.370 0.755 -0.545
W Ho Co
1 1 1
direct
0.250 0.250 0.250
0.000 0.000 0.000
0.750 0.750 0.750
```

energy of formation from the pure elements = 5.3 eV per formula unit
crystal system = cubic